A) Computed, not measured: Al2Ag3 after structural relaxation at the PBEsol level of DFT.

Geometry as extended XYZ:
```
10
Lattice="-1.372 -2.134 1.302 2.547 -3.469 -6.123 6.006 -0.707 5.168" Properties=species:S:1:pos:R:3 pbc="T T T"
Al 2.840 -4.064 -0.547
Al 5.751 -4.205 -0.833
Al 1.430 -2.105 1.180
Al 4.341 -2.245 0.894
Ag 5.766 -4.437 1.926
Ag 2.698 -3.723 -3.259
Ag 3.003 -0.353 2.584
Ag 4.482 -2.586 3.606
Ag 1.414 -1.873 -1.579
Ag 0.000 0.000 0.000
```

B) Computed, not measured: Al2Ag3 after structural relaxation at the PBEsol level of DFT.

Geometry as extended XYZ:
```
10
Lattice="5.003 -0.037 0.048 -1.615 5.451 -0.020 -0.898 -1.816 5.893" Properties=species:S:1:pos:R:3 pbc="T T T"
Al 3.651 -0.489 5.926
Al 2.075 2.066 1.264
Al 0.415 1.532 4.656
Al -1.161 4.087 -0.005
Ag 2.025 3.486 3.619
Ag 1.379 4.738 1.113
Ag 1.111 -1.140 4.807
Ag 0.465 0.112 2.301
Ag 2.934 0.802 3.639
Ag -0.444 2.796 2.281
```

Tell me which of them is the least stable. Sure, it is A).

A) Computed, not measured: Al5Ag3 after structural relaxation at the PBEsol level of DFT.

Geometry as extended XYZ:
```
8
Lattice="4.855 0.018 0.000 -1.484 4.622 0.000 0.000 0.000 5.777" Properties=species:S:1:pos:R:3 pbc="T T T"
Al -0.742 2.311 2.916
Al 1.686 2.320 1.355
Al 0.000 0.000 4.348
Al 2.427 0.009 2.916
Al 0.000 0.000 1.486
Ag -0.742 2.311 0.053
Ag 1.686 2.320 4.204
Ag 2.427 0.009 0.053
```

B) Computed, not measured: Al5Ag3 after structural relaxation at the PBEsol level of DFT.

Geometry as extended XYZ:
```
8
Lattice="3.960 0.000 0.000 0.000 4.053 0.000 -1.980 -2.026 8.135" Properties=species:S:1:pos:R:3 pbc="T T T"
Al 0.000 2.026 4.083
Al 0.000 0.000 6.144
Al 1.980 0.000 0.000
Al 1.980 2.026 1.991
Al 1.980 0.000 4.052
Ag 1.980 2.026 6.046
Ag 0.000 2.026 0.000
Ag 0.000 0.000 2.090
```

C) Computed, not measured: Al5Ag3 after structural relaxation at the PBEsol level of DFT.

Geometry as extended XYZ:
```
8
Lattice="3.951 0.000 0.000 0.000 4.042 0.000 0.000 0.000 8.174" Properties=species:S:1:pos:R:3 pbc="T T T"
Al 0.000 2.021 8.173
Al 1.976 2.021 6.114
Al 1.976 0.000 4.087
Al 1.976 2.021 2.060
Al 1.976 0.000 8.174
Ag 0.000 0.000 6.142
Ag 0.000 2.021 4.087
Ag 0.000 0.000 2.032
```

D) Computed, not measured: Al5Ag3 after structural relaxation at the PBEsol level of DFT.

Geometry as extended XYZ:
```
8
Lattice="-2.817 -0.236 -0.971 1.524 -5.645 -3.049 -2.089 -1.517 6.429" Properties=species:S:1:pos:R:3 pbc="T T T"
Al -0.785 -4.782 -1.161
Al -0.880 -4.868 3.736
Al -1.691 -3.699 1.204
Al 0.315 -2.294 -0.357
Al -2.597 -2.616 3.569
Ag -0.586 -1.336 2.025
Ag -1.409 -0.118 -0.486
Ag 0.021 -5.826 1.355
```

Tell me which of them is the least stable. Sure, it is C).

A) Computed, not measured: Al5Ag3 after structural relaxation at the PBEsol level of DFT.

Geometry as extended XYZ:
```
8
Lattice="2.927 0.000 0.000 0.000 6.853 -0.017 0.000 -2.216 6.485" Properties=species:S:1:pos:R:3 pbc="T T T"
Al 0.000 3.492 4.816
Al 1.463 5.691 0.816
Al 1.463 -1.120 5.699
Al 0.000 1.196 1.614
Al 1.463 1.176 4.053
Ag 0.000 1.228 6.418
Ag 1.463 3.396 2.461
Ag 0.000 -1.048 3.244
```

B) Computed, not measured: Al5Ag3 after structural relaxation at the PBEsol level of DFT.

Geometry as extended XYZ:
```
8
Lattice="-0.944 3.791 0.864 -1.065 -1.107 3.694 7.629 1.309 2.591" Properties=species:S:1:pos:R:3 pbc="T T T"
Al 1.460 2.227 1.088
Al 0.000 0.000 0.000
Al 5.165 0.424 3.782
Al 2.810 1.996 3.575
Al -1.004 1.342 2.279
Ag 5.285 2.883 2.387
Ag 3.815 0.655 1.295
Ag 1.340 -0.232 2.483
```

Tell me which of them is the least stable. Sure, it is B).

A) Computed, not measured: Al3Ag2 after structural relaxation at the PBEsol level of DFT.

Geometry as extended XYZ:
```
10
Lattice="-0.344 -3.940 2.848 4.531 -1.610 1.001 0.031 2.210 7.231" Properties=species:S:1:pos:R:3 pbc="T T T"
Al -0.091 -0.293 3.754
Al 2.133 -1.954 3.066
Al 2.084 -1.395 8.003
Al -0.222 -1.430 6.336
Al 2.003 -3.061 5.689
Al -0.305 -3.130 3.974
Ag 1.923 -4.705 3.405
Ag -0.011 1.342 6.025
Ag 2.213 -0.312 5.346
Ag -0.171 -1.945 1.458
```

B) Computed, not measured: Al3Ag2 after structural relaxation at the PBEsol level of DFT.

Geometry as extended XYZ:
```
5
Lattice="-1.525 -2.145 -1.294 -1.245 -2.100 1.625 -9.982 4.559 0.886" Properties=species:S:1:pos:R:3 pbc="T T T"
Al 0.000 0.000 0.000
Al -4.534 0.966 0.419
Al -8.219 -0.651 0.797
Ag -3.660 -1.634 0.376
Ag -9.093 1.949 0.841
```

Tell me which of them is the least stable. Sure, it is A).

A) Computed, not measured: Al5Ag2 after structural relaxation at the PBEsol level of DFT.

Geometry as extended XYZ:
```
7
Lattice="-3.243 1.997 1.224 -0.314 -4.855 0.551 2.863 1.170 5.676" Properties=species:S:1:pos:R:3 pbc="T T T"
Al 0.481 0.991 6.194
Al -1.175 -2.679 1.258
Al -1.708 -0.807 3.329
Al -0.190 1.584 3.450
Al 1.014 -0.881 4.122
Ag -0.998 -1.334 6.069
Ag 0.304 -0.354 1.383
```

B) Computed, not measured: Al5Ag2 after structural relaxation at the PBEsol level of DFT.

Geometry as extended XYZ:
```
7
Lattice="-1.560 0.817 2.201 -2.375 -3.173 -0.505 7.864 -4.219 5.337" Properties=species:S:1:pos:R:3 pbc="T T T"
Al 0.000 0.000 0.000
Al 2.249 -5.038 5.270
Al 3.359 -3.074 3.523
Al 0.570 -3.501 3.510
Al 1.680 -1.538 1.762
Ag -1.112 -1.961 1.745
Ag 5.041 -4.615 5.288
```

Tell me which of them is the least stable. Sure, it is A).

A) Computed, not measured: Al5Ag6 after structural relaxation at the PBEsol level of DFT.

Geometry as extended XYZ:
```
11
Lattice="-1.318 1.565 -2.128 -5.414 -0.467 5.057 2.934 6.992 3.325" Properties=species:S:1:pos:R:3 pbc="T T T"
Al 0.215 3.210 2.228
Al -1.512 5.433 2.885
Al -4.222 1.572 1.724
Al -4.073 4.841 4.035
Al -4.731 2.149 4.510
Ag -6.662 1.142 2.918
Ag 0.876 5.816 1.688
Ag -1.745 2.227 0.671
Ag 0.465 6.490 4.485
Ag -2.279 2.789 3.463
Ag -2.033 5.875 5.580
```

B) Computed, not measured: Al5Ag6 after structural relaxation at the PBEsol level of DFT.

Geometry as extended XYZ:
```
11
Lattice="-2.745 -4.029 0.244 0.641 0.159 -5.012 6.442 -3.294 1.239" Properties=species:S:1:pos:R:3 pbc="T T T"
Al -1.372 -2.015 0.122
Al 1.256 -2.025 -2.789
Al 1.052 -4.841 -2.870
Al 3.286 -2.323 -0.659
Al 3.083 -5.139 -0.741
Ag 3.225 -6.338 -3.335
Ag 5.483 -3.831 -1.093
Ag -1.144 -3.333 -2.436
Ag 1.113 -0.826 -0.194
Ag 0.880 -3.632 -0.344
Ag 3.459 -3.532 -3.185
```

Tell me which of them is the least stable. Sure, it is A).